# 1
Compound: Th2PSe2
Source: the Alexandria database
Functional: PBE-GGA
Structure: relaxed

abc: 4.001 13.680 10.189
angles: 90.00 90.00 90.00
Space group Cmc2_1 (No. 36)
Inequivalent atoms, fractional coordinates:
Th1 0.000 0.009 0.000 (multiplicity 4)
Th2 0.000 0.237 0.233 (multiplicity 4)
P1 0.000 0.360 0.581 (multiplicity 4)
Se1 0.000 0.102 0.745 (multiplicity 4)
Se2 0.000 0.350 0.931 (multiplicity 4)

Values from the calculation:
Spin magnetization: 0.000 μB per atom
Energy relative to the elements, uncorrected: -1.52 eV/atom
Energy above the most stable polymorph in this dataset: 65 meV/atom

# 2
Compound: Th2P2Se
Source: the Alexandria database
Functional: PBE-GGA
Structure: relaxed

abc: 7.435 4.804 7.177
angles: 90.00 102.81 90.00
Space group C2/m (No. 12)
Inequivalent atoms, fractional coordinates:
Th1 0.201 0.000 0.236 (multiplicity 4)
P1 0.000 0.236 0.500 (multiplicity 4)
Se1 0.000 0.500 0.000 (multiplicity 2)

Values from the calculation:
Spin magnetization: 0.000 μB per atom
Energy relative to the elements, uncorrected: -1.17 eV/atom

# 3
Compound: Th3PSe3
Source: the Alexandria database
Functional: PBE-GGA
Structure: relaxed

abc: 8.532 12.418 7.498
angles: 90.00 91.34 90.00
Space group C2/m (No. 12)
Inequivalent atoms, fractional coordinates:
Th1 0.063 0.000 0.221 (multiplicity 4)
Th2 0.156 0.347 0.312 (multiplicity 8)
P1 0.250 0.000 0.920 (multiplicity 4)
Se1 0.000 0.163 0.500 (multiplicity 4)
Se2 0.000 0.225 0.000 (multiplicity 4)
Se3 0.122 0.500 0.641 (multiplicity 4)

Values from the calculation:
Spin magnetization: 0.000 μB per atom
Energy relative to the elements, uncorrected: -1.27 eV/atom

# 4
Compound: ThPSe
Source: the Alexandria database
Functional: PBE-GGA
Structure: relaxed

abc: 6.872 6.872 6.872
angles: 90.00 90.00 90.00
Space group F-43m (No. 216)
Inequivalent atoms, fractional coordinates:
Th1 0.000 0.000 0.000 (multiplicity 4)
P1 0.250 0.250 0.750 (multiplicity 4)
Se1 0.250 0.250 0.250 (multiplicity 4)

Values from the calculation:
Spin magnetization: 0.000 μB per atom
Energy relative to the elements, uncorrected: -1.01 eV/atom

# 5
Compound: ThPSe
Source: the Alexandria database
Functional: PBE-GGA
Structure: relaxed

abc: 5.922 4.236 7.782
angles: 90.00 111.87 90.00
Space group P2_1/m (No. 11)
Inequivalent atoms, fractional coordinates:
Th1 0.171 0.250 0.330 (multiplicity 2)
P1 0.056 0.250 0.958 (multiplicity 2)
Se1 0.307 0.750 0.623 (multiplicity 2)

Values from the calculation:
Spin magnetization: 0.000 μB per atom
Energy relative to the elements, uncorrected: -1.15 eV/atom

# 6
Compound: ThPSe
Source: the Alexandria database
Functional: PBE-GGA
Structure: relaxed

abc: 4.069 4.069 8.464
angles: 90.00 90.00 90.00
Space group P4/nmm (No. 129, origin choice 2)
Inequivalent atoms, fractional coordinates:
Th1 0.250 0.250 0.248 (multiplicity 2)
P1 0.250 0.750 0.500 (multiplicity 2)
Se1 0.250 0.250 0.869 (multiplicity 2)

Values from the calculation:
Spin magnetization: 0.000 μB per atom
Energy relative to the elements, uncorrected: -1.43 eV/atom